## Na3In4Sn4 (PBE)

Data for a relaxed structure of Na3In4Sn4.

a = 3.6434 Å, b = 4.4893 Å, c = 18.5055 Å
α = 83.39°, β = 84.75°, γ = 89.92°
Last column: nearest neighbours and their distance in Å.
Space group P-1 (No. 2)
Symmetry-distinct sites (fractional):
Na (0.0000, 0.0000, 0.0000) (multiplicity 1)  2 In 3.26, 8 Sn 3.36-3.37, 2 Na 3.64
Na (0.3637, 0.3645, 0.2749) (multiplicity 2)  5 In 3.23-3.41, 5 Sn 3.31-3.46
In (0.0880, 0.0867, 0.8220) (multiplicity 2)  5 Na 3.26-3.41, 5 Sn 3.27-3.62, 2 In 3.64
In (0.2746, 0.2742, 0.4513) (multiplicity 2)  5 Sn 3.16-3.21, 1 Na 3.23, 4 In 3.38-3.41
Sn (0.1877, 0.1889, 0.6240) (multiplicity 2)  5 In 3.16-3.21, 4 Na 3.41-3.46
Sn (0.4556, 0.4537, 0.0939) (multiplicity 2)  4 In 3.27-3.29, 5 Na 3.31-3.37, 3 Sn 3.44-3.64

E_tot = -31.84 eV per cell
Energy of formation = -83.5 meV/atom
Density = 5.563 Mg/m³
DOS(E_F) = 3.3 states/eV/f.u.

=====

## Ac2CeGd (PBE)

Data for a relaxed structure of Ac2CeGd.

a = 3.7811 Å, b = 3.7811 Å, c = 10.4885 Å
α = 90.00°, β = 90.00°, γ = 90.00°
Last column: nearest neighbours and their distance in Å.
Space group P4/mmm (No. 123)
Symmetry-distinct sites (fractional):
Ac (0.0000, 0.0000, 0.2451) (multiplicity 2)  4 Ce 3.71, 4 Gd 3.78, 4 Ac 3.78
Ce (0.5000, 0.5000, 0.0000) (multiplicity 1)  8 Ac 3.71, 4 Ce 3.78
Gd (0.5000, 0.5000, 0.5000) (multiplicity 1)  8 Ac 3.78, 4 Gd 3.78

E_tot = -27.82 eV per cell
Energy of formation = 102.7 meV/atom
Density = 8.320 Mg/m³
DOS(E_F) = 9.2 states/eV/f.u.

=====

## CsNaTl2Hg (PBE)

Data for a relaxed structure of CsNaTl2Hg.

a = 5.9373 Å, b = 5.9373 Å, c = 6.0065 Å
α = 90.00°, β = 90.00°, γ = 90.00°
Last column: nearest neighbours and their distance in Å.
Space group P4/mmm (No. 123)
Symmetry-distinct sites (fractional):
Cs (0.0000, 0.0000, 0.0000) (multiplicity 1)  4 Na 4.20, 8 Tl 4.22
Na (0.5000, 0.5000, 0.0000) (multiplicity 1)  2 Hg 3.00
Tl (0.0000, 0.5000, 0.5000) (multiplicity 2)  2 Hg 2.97
Hg (0.5000, 0.5000, 0.5000) (multiplicity 1)  4 Tl 2.97, 2 Na 3.00

E_tot = -7.13 eV per cell
Energy of formation = 15.5 meV/atom
Density = 6.001 Mg/m³
DOS(E_F) = 4.0 states/eV/f.u.